## LiZrNi4 (meta-GGA SCAN)

Data for a PBEsol-optimized structure of LiZrNi4.

abc: 4.7240 4.7240 4.7240
angles: 60.00 60.00 60.00
Last column: nearest neighbours and their distance in Å.
Atoms (fractional coordinates):
Ni1 0.3742 0.3742 0.3742  6 Ni 2.35-2.38
Ni2 0.8773 0.3742 0.3742  6 Ni 2.35-2.38
Ni3 0.3742 0.8773 0.3742  6 Ni 2.35-2.38
Li1 0.0000 0.0000 0.0000  12 Ni 2.77, 4 Zr 2.89
Ni4 0.3742 0.3742 0.8773  6 Ni 2.35-2.38
Zr1 0.7500 0.7500 0.7500  12 Ni 2.77, 4 Li 2.89

Properties
Space-group type: F-43m
Crystal system: cubic
Total magnetization in μB per formula unit: 0.00
Formation energy from the elements in meV per atom: -361